A.
Compound: AcSiSn
Source: the Alexandria database
Functional: PBE-GGA
Structure: optimized geometry

a = 4.269 Å, b = 9.339 Å, c = 8.892 Å
α = 119.71°, β = 135.91°, γ = 89.95°
Fractional positions:
Ac (0.948, 0.728, 0.965)
Ac (0.052, 0.272, 0.035)
Si (0.909, 0.613, 0.273)
Si (0.091, 0.387, 0.727)
Sn (0.949, 0.839, 0.633)
Sn (0.051, 0.161, 0.367)

Values from the calculation:
- Crystal system: triclinic
- ρ: 7.16 g cm⁻³
- Space-group type: P-1, No. 2

---

B.
Compound: AcSiSn
Source: the Alexandria database
Functional: PBE-GGA
Structure: optimized geometry

a = 5.079 Å, b = 5.079 Å, c = 5.079 Å
α = 60.00°, β = 60.00°, γ = 60.00°
Fractional positions:
Ac (0.500, 0.500, 0.500)
Si (0.250, 0.250, 0.250)
Sn (0.000, 0.000, 0.000)

Values from the calculation:
- Crystal system: cubic
- ρ: 6.70 g cm⁻³
- Space-group type: F-43m, No. 216

---

C.
Compound: AcSiSn
Source: the Alexandria database
Functional: PBE-GGA
Structure: optimized geometry

a = 4.449 Å, b = 4.572 Å, c = 8.976 Å
α = 104.76°, β = 104.18°, γ = 90.00°
Fractional positions:
Ac (0.642, 0.891, 0.782)
Ac (0.358, 0.109, 0.218)
Si (0.220, 0.469, 0.938)
Si (0.780, 0.531, 0.062)
Sn (0.055, 0.304, 0.607)
Sn (0.945, 0.696, 0.393)

Values from the calculation:
- Crystal system: monoclinic
- ρ: 7.27 g cm⁻³
- Space-group type: C2/m, No. 12

---

It comes down to C, which is 3.2 kJ/mol of atoms more stable than the next structure.

---

A.
Compound: SrAcSi
Source: the Alexandria database
Functional: PBE-GGA
Structure: optimized geometry

a = 5.351 Å, b = 5.351 Å, c = 5.351 Å
α = 60.00°, β = 60.00°, γ = 60.00°
Fractional positions:
Sr (0.000, 0.000, 0.000)
Ac (0.500, 0.500, 0.500)
Si (0.250, 0.250, 0.250)

Values from the calculation:
- Crystal system: cubic
- ρ: 5.25 g cm⁻³
- Space-group type: F-43m, No. 216

---

B.
Compound: SrAcSi
Source: the Alexandria database
Functional: PBE-GGA
Structure: optimized geometry

a = 5.374 Å, b = 4.993 Å, c = 4.993 Å
α = 120.00°, β = 90.00°, γ = 90.00°
Fractional positions:
Sr (0.742, 0.667, 0.333)
Ac (0.227, 0.333, 0.667)
Si (0.031, 0.000, 0.000)

Values from the calculation:
- Crystal system: trigonal
- ρ: 4.90 g cm⁻³
- Space-group type: P3m1, No. 156

---

It comes down to A, which is 18.5 kJ/mol of atoms more stable than the next structure.

---

A.
Compound: SrAcSi
Source: the Alexandria database
Functional: PBE-GGA
Structure: optimized geometry

a = 4.607 Å, b = 6.913 Å, c = 6.944 Å
α = 90.00°, β = 90.00°, γ = 109.46°
Each line ends with the local moment (μB).
Fractional positions:
Sr (0.000, 0.000, 0.000)  0.08
Sr (0.000, 0.000, 0.500)  0.08
Ac (0.712, 0.424, 0.250)  0.12
Ac (0.288, 0.576, 0.750)  0.12
Si (0.376, 0.752, 0.250)  -0.01
Si (0.624, 0.248, 0.750)  -0.01

Values from the calculation:
- Crystal system: orthorhombic
- ρ: 5.46 g cm⁻³
- Space-group type: Cmcm, No. 63

---

B.
Compound: SrAcSi
Source: the Alexandria database
Functional: PBE-GGA
Structure: optimized geometry

a = 4.123 Å, b = 4.662 Å, c = 11.673 Å
α = 101.52°, β = 90.00°, γ = 90.00°
Fractional positions:
Sr (0.250, 0.310, 0.619)
Sr (0.750, 0.690, 0.381)
Ac (0.250, 0.073, 0.147)
Ac (0.750, 0.927, 0.853)
Si (0.250, 0.468, 0.936)
Si (0.750, 0.532, 0.064)

Values from the calculation:
- Crystal system: orthorhombic
- ρ: 5.18 g cm⁻³
- Space-group type: Cmcm, No. 63

---

It comes down to B, which is 6.2 kJ/mol of atoms more stable than the next structure.

---

A.
Compound: SrAcSi4
Source: the Alexandria database
Functional: PBE-GGA
Structure: optimized geometry

a = 5.743 Å, b = 5.743 Å, c = 5.743 Å
α = 60.00°, β = 60.00°, γ = 60.00°
Fractional positions:
Sr (0.250, 0.250, 0.250)
Ac (0.000, 0.000, 0.000)
Si (0.639, 0.639, 0.082)
Si (0.639, 0.082, 0.639)
Si (0.639, 0.639, 0.639)
Si (0.082, 0.639, 0.639)

Values from the calculation:
- Crystal system: cubic
- ρ: 5.29 g cm⁻³
- Space-group type: F-43m, No. 216

---

B.
Compound: SrAcSi4
Source: the Alexandria database
Functional: PBE-GGA
Structure: optimized geometry

a = 4.607 Å, b = 7.349 Å, c = 16.557 Å
α = 90.00°, β = 90.00°, γ = 90.00°
Fractional positions:
Sr (0.000, 0.750, 0.062)
Sr (0.000, 0.250, 0.938)
Sr (0.000, 0.250, 0.438)
Sr (0.000, 0.750, 0.562)
Ac (0.000, 0.750, 0.313)
Ac (0.000, 0.250, 0.687)
Ac (0.000, 0.250, 0.187)
Ac (0.000, 0.750, 0.813)
Si (0.500, 0.916, 0.187)
Si (0.500, 0.084, 0.813)
Si (0.500, 0.416, 0.313)
Si (0.500, 0.584, 0.687)
Si (0.500, 0.085, 0.062)
Si (0.500, 0.915, 0.938)
Si (0.500, 0.585, 0.438)
Si (0.500, 0.415, 0.562)
Si (0.500, 0.915, 0.438)
Si (0.500, 0.085, 0.562)
Si (0.500, 0.415, 0.062)
Si (0.500, 0.585, 0.938)
Si (0.500, 0.083, 0.313)
Si (0.500, 0.917, 0.687)
Si (0.500, 0.583, 0.187)
Si (0.500, 0.417, 0.813)

Values from the calculation:
- Crystal system: orthorhombic
- ρ: 5.06 g cm⁻³
- Space-group type: Pmma, No. 51

---

It comes down to B, which is 23.3 kJ/mol of atoms more stable than the next structure.